(1)
Ca2InSb after structural relaxation. Source: Alexandria, functional PBE.

Cell and atoms, written as CIF:
```
data_Ca2InSb
_chemical_formula_sum 'Ca2 In1 Sb1'
_cell_length_a 4.3977
_cell_length_b 4.3977
_cell_length_c 6.4883
_cell_angle_alpha 90.00
_cell_angle_beta 90.00
_cell_angle_gamma 90.00
_space_group_name_H-M_alt 'P 4 m m'
_space_group_IT_number 99
_space_group_name_Hall 'P 4 -2'
loop_
_atom_site_label
_atom_site_fract_x
_atom_site_fract_y
_atom_site_fract_z
_atom_site_occupancy
Ca1 0.0000 0.0000 0.0000 1
Ca2 0.5000 0.5000 0.3414 1
In1 0.0000 0.0000 0.5213 1
Sb1 0.5000 0.5000 0.8317 1
```

Results
* relative energy among the computed polymorphs: 252 meV/atom
* DFT total energy: -3.126 eV per atom
* calculated volume: 31.37 A^3/atom
* energy relative to the elements, uncorrected: -39.5 kJ/mol of atoms

=====

(2)
Ca2InSb after structural relaxation. Source: Alexandria, functional PBE.

Cell and atoms, written as CIF:
```
data_Ca2InSb
_chemical_formula_sum 'Ca2 In1 Sb1'
_cell_length_a 3.8596
_cell_length_b 4.1627
_cell_length_c 7.1921
_cell_angle_alpha 90.00
_cell_angle_beta 90.00
_cell_angle_gamma 90.00
_space_group_name_H-M_alt 'P m m m'
_space_group_IT_number 47
_space_group_name_Hall '-P 2 2'
loop_
_atom_site_label
_atom_site_fract_x
_atom_site_fract_y
_atom_site_fract_z
_atom_site_occupancy
Ca1 0.0000 0.0000 0.2386 1
In1 0.5000 0.5000 0.5000 1
Sb1 0.5000 0.5000 0.0000 1
```

Results
* relative energy among the computed polymorphs: 0 meV/atom
* DFT total energy: -3.378 eV per atom
* calculated volume: 28.89 A^3/atom
* energy relative to the elements, uncorrected: -63.8 kJ/mol of atoms

=====

(3)
CaInSb2 after structural relaxation. Source: Alexandria, functional PBE.

Cell and atoms, written as CIF:
```
data_CaInSb2
_chemical_formula_sum 'Ca2 In2 Sb4'
_cell_length_a 6.5334
_cell_length_b 8.3983
_cell_length_c 4.1136
_cell_angle_alpha 90.00
_cell_angle_beta 90.13
_cell_angle_gamma 90.00
_space_group_name_H-M_alt 'C 1 2/m 1'
_space_group_IT_number 12
_space_group_name_Hall '-C 2y'
loop_
_atom_site_label
_atom_site_fract_x
_atom_site_fract_y
_atom_site_fract_z
_atom_site_occupancy
Ca1 0.0000 0.0000 0.0000 1
In1 0.0000 0.5000 0.0000 1
Sb1 0.2500 0.2500 0.5000 1
```

Results
* DFT total energy: -3.643 eV per atom
* calculated volume: 28.21 A^3/atom
* energy relative to the elements, uncorrected: -38.2 kJ/mol of atoms

=====

(4)
CaIn2Sb2 after structural relaxation. Source: Alexandria, functional PBE.

Cell and atoms, written as CIF:
```
data_CaIn2Sb2
_chemical_formula_sum 'Ca2 In4 Sb4'
_cell_length_a 4.6042
_cell_length_b 4.6042
_cell_length_c 14.7338
_cell_angle_alpha 90.00
_cell_angle_beta 90.00
_cell_angle_gamma 90.00
_space_group_name_H-M_alt 'I 4/m m m'
_space_group_IT_number 139
_space_group_name_Hall '-I 4 2'
loop_
_atom_site_label
_atom_site_fract_x
_atom_site_fract_y
_atom_site_fract_z
_atom_site_occupancy
Ca1 0.0000 0.0000 0.0000 1
In1 0.0000 0.0000 0.4001 1
Sb1 0.0000 0.5000 0.2500 1
```

Results
* DFT total energy: -3.203 eV per atom
* calculated volume: 31.23 A^3/atom
* energy relative to the elements, uncorrected: -5.6 kJ/mol of atoms

=====

(5)
CaIn2Sb2 after structural relaxation. Source: Alexandria, functional PBE.

Cell and atoms, written as CIF:
```
data_CaIn2Sb2
_chemical_formula_sum 'Ca2 In4 Sb4'
_cell_length_a 8.3382
_cell_length_b 8.3382
_cell_length_c 4.1907
_cell_angle_alpha 90.00
_cell_angle_beta 90.00
_cell_angle_gamma 90.00
_space_group_name_H-M_alt 'P 4/m b m'
_space_group_IT_number 127
_space_group_name_Hall '-P 4 2ab'
loop_
_atom_site_label
_atom_site_fract_x
_atom_site_fract_y
_atom_site_fract_z
_atom_site_occupancy
Ca1 0.0000 0.0000 0.0000 1
In1 0.1494 0.3506 0.5000 1
Sb1 0.1498 0.6498 0.0000 1
```

Results
* DFT total energy: -3.376 eV per atom
* calculated volume: 29.14 A^3/atom
* energy relative to the elements, uncorrected: -22.4 kJ/mol of atoms

=====

(6)
Ca3In2Sb4 after structural relaxation. Source: Alexandria, functional PBE.

Cell and atoms, written as CIF:
```
data_Ca3In2Sb4
_chemical_formula_sum 'Ca6 In4 Sb8'
_cell_length_a 6.9825
_cell_length_b 17.1510
_cell_length_c 4.7309
_cell_angle_alpha 90.00
_cell_angle_beta 90.00
_cell_angle_gamma 90.00
_space_group_name_H-M_alt 'P n n m'
_space_group_IT_number 58
_space_group_name_Hall '-P 2 2n'
loop_
_atom_site_label
_atom_site_fract_x
_atom_site_fract_y
_atom_site_fract_z
_atom_site_occupancy
Ca1 0.0000 0.0000 0.0000 1
Ca2 0.2160 0.3062 0.5000 1
In1 0.1450 0.5903 0.0000 1
Sb1 0.2179 0.1757 0.0000 1
Sb2 0.2358 0.9278 0.5000 1
```

Results
* DFT total energy: -3.765 eV per atom
* calculated volume: 31.48 A^3/atom
* energy relative to the elements, uncorrected: -63.4 kJ/mol of atoms

=====

(7)
Ca2In2Sb3 after structural relaxation. Source: Alexandria, functional PBE.

Cell and atoms, written as CIF:
```
data_Ca2In2Sb3
_chemical_formula_sum 'Ca4 In4 Sb6'
_cell_length_a 16.6453
_cell_length_b 4.5921
_cell_length_c 7.2849
_cell_angle_alpha 90.00
_cell_angle_beta 115.17
_cell_angle_gamma 90.00
_space_group_name_H-M_alt 'C 1 2/m 1'
_space_group_IT_number 12
_space_group_name_Hall '-C 2y'
loop_
_atom_site_label
_atom_site_fract_x
_atom_site_fract_y
_atom_site_fract_z
_atom_site_occupancy
Ca1 0.1374 0.0000 0.2211 1
In1 0.1440 0.5000 0.8567 1
Sb1 0.0000 0.5000 0.0000 1
Sb2 0.2007 0.0000 0.6982 1
```

Results
* DFT total energy: -3.559 eV per atom
* calculated volume: 36.00 A^3/atom
* energy relative to the elements, uncorrected: -42.3 kJ/mol of atoms

=====

(8)
CaInSb4 after structural relaxation. Source: Alexandria, functional PBE.

Cell and atoms, written as CIF:
```
data_CaInSb4
_chemical_formula_sum 'Ca4 In4 Sb16'
_cell_length_a 8.9777
_cell_length_b 8.9777
_cell_length_c 8.9777
_cell_angle_alpha 90.00
_cell_angle_beta 90.00
_cell_angle_gamma 90.00
_space_group_name_H-M_alt 'F -4 3 m'
_space_group_IT_number 216
_space_group_name_Hall 'F -4 2 3'
loop_
_atom_site_label
_atom_site_fract_x
_atom_site_fract_y
_atom_site_fract_z
_atom_site_occupancy
Ca1 0.0000 0.0000 0.0000 1
In1 0.2500 0.2500 0.7500 1
Sb1 0.1245 0.1245 0.3755 1
```

Results
* DFT total energy: -3.645 eV per atom
* calculated volume: 30.15 A^3/atom
* energy relative to the elements, uncorrected: -10.3 kJ/mol of atoms

=====

(9)
Ca2InSb after structural relaxation. Source: Alexandria, functional PBE.

Cell and atoms, written as CIF:
```
data_Ca2InSb
_chemical_formula_sum 'Ca8 In4 Sb4'
_cell_length_a 7.8696
_cell_length_b 7.8696
_cell_length_c 7.8696
_cell_angle_alpha 90.00
_cell_angle_beta 90.00
_cell_angle_gamma 90.00
_space_group_name_H-M_alt 'F -4 3 m'
_space_group_IT_number 216
_space_group_name_Hall 'F -4 2 3'
loop_
_atom_site_label
_atom_site_fract_x
_atom_site_fract_y
_atom_site_fract_z
_atom_site_occupancy
Ca1 0.0000 0.0000 0.0000 1
Ca2 0.2500 0.2500 0.2500 1
In1 0.0000 0.0000 0.5000 1
Sb1 0.2500 0.2500 0.7500 1
```

Results
* relative energy among the computed polymorphs: 389 meV/atom
* DFT total energy: -2.989 eV per atom
* calculated volume: 30.46 A^3/atom
* energy relative to the elements, uncorrected: -26.3 kJ/mol of atoms

=====

(10)
CaInSb3 after structural relaxation. Source: Alexandria, functional PBE.

Cell and atoms, written as CIF:
```
data_CaInSb3
_chemical_formula_sum 'Ca1 In1 Sb3'
_cell_length_a 5.7532
_cell_length_b 5.7532
_cell_length_c 5.7532
_cell_angle_alpha 90.00
_cell_angle_beta 90.00
_cell_angle_gamma 90.00
_space_group_name_H-M_alt 'P m -3 m'
_space_group_IT_number 221
_space_group_name_Hall '-P 4 2 3'
loop_
_atom_site_label
_atom_site_fract_x
_atom_site_fract_y
_atom_site_fract_z
_atom_site_occupancy
Ca1 0.0000 0.0000 0.0000 1
In1 0.5000 0.5000 0.5000 1
Sb1 0.0000 0.0000 0.5000 1
```

Results
* relative energy among the computed polymorphs: 170 meV/atom
* DFT total energy: -2.972 eV per atom
* calculated volume: 38.09 A^3/atom
* energy relative to the elements, uncorrected: 43.4 kJ/mol of atoms

=====

(11)
Ca2InSb2 after structural relaxation. Source: Alexandria, functional PBE.

Cell and atoms, written as CIF:
```
data_Ca2InSb2
_chemical_formula_sum 'Ca4 In2 Sb4'
_cell_length_a 9.2027
_cell_length_b 9.2027
_cell_length_c 3.5580
_cell_angle_alpha 90.00
_cell_angle_beta 90.00
_cell_angle_gamma 90.00
_space_group_name_H-M_alt 'P 4/m b m'
_space_group_IT_number 127
_space_group_name_Hall '-P 4 2ab'
loop_
_atom_site_label
_atom_site_fract_x
_atom_site_fract_y
_atom_site_fract_z
_atom_site_occupancy
Ca1 0.1398 0.3602 0.0000 1
In1 0.0000 0.0000 0.5000 1
Sb1 0.1598 0.6598 0.5000 1
```

Results
* relative energy among the computed polymorphs: 0 meV/atom
* DFT total energy: -3.632 eV per atom
* calculated volume: 30.13 A^3/atom
* energy relative to the elements, uncorrected: -61.3 kJ/mol of atoms

=====

(12)
CaIn2Sb2 after structural relaxation. Source: Alexandria, functional PBE.

Cell and atoms, written as CIF:
```
data_CaIn2Sb2
_chemical_formula_sum 'Ca2 In4 Sb4'
_cell_length_a 8.4247
_cell_length_b 8.4247
_cell_length_c 4.0154
_cell_angle_alpha 90.00
_cell_angle_beta 90.00
_cell_angle_gamma 90.00
_space_group_name_H-M_alt 'P 4/m b m'
_space_group_IT_number 127
_space_group_name_Hall '-P 4 2ab'
loop_
_atom_site_label
_atom_site_fract_x
_atom_site_fract_y
_atom_site_fract_z
_atom_site_occupancy
Ca1 0.0000 0.0000 0.0000 1
In1 0.1270 0.3730 0.0000 1
Sb1 0.1719 0.6719 0.5000 1
```

Results
* DFT total energy: -3.358 eV per atom
* calculated volume: 28.50 A^3/atom
* energy relative to the elements, uncorrected: -20.6 kJ/mol of atoms

=====

Q: The highest energy relative to the elements, uncorrected belongs to which entry?
A: CaInSb3